Compound: CeNd2N
Source: Alexandria
Functional: PBE
Structure: optimized geometry

Cell: 10.029 10.029 10.029 Å, 20.32 20.32 20.32°
Sites, in units of the cell vectors:
1 Ce 0.000 0.000 0.000
2 Nd 0.119 0.119 0.119
3 Nd 0.881 0.881 0.881
4 N 0.500 0.500 0.500

Summary:
As for the energy relative to the elements, uncorrected: -2.02 eV per formula unit. As for the raw total energy: -0.4744 Ry per atom. The density of states at the Fermi level is 6.00 states/eV/cell. As for the energy above the lowest structure with this stoichiometry: 0.0 kJ/mol of atoms. Its space-group type is R-3m (166).

Compound: CeNd4N5
Source: Alexandria
Functional: PBE
Structure: optimized geometry

Cell: 6.287 6.287 6.287 Å, 99.62 99.62 131.75°
Sites, in units of the cell vectors:
1 Ce 0.000 0.000 0.000
2 Nd 0.200 0.399 0.599
3 Nd 0.399 0.800 0.199
4 Nd 0.601 0.200 0.801
5 Nd 0.800 0.601 0.401
6 N 0.095 0.713 0.808
7 N 0.287 0.095 0.382
8 N 0.500 0.500 0.000
9 N 0.713 0.905 0.618
10 N 0.905 0.287 0.192

Summary:
As for the energy relative to the elements, uncorrected: -14.13 eV per formula unit. As for the raw total energy: -0.5936 Ry per atom. The density of states at the Fermi level is 2.55 states/eV/cell. Its space-group type is I4/m (87).

Compound: Ce3Nd5N8
Source: Alexandria
Functional: PBE
Structure: optimized geometry

Cell: 7.227 7.227 7.227 Å, 60.02 60.02 60.02°
Sites, in units of the cell vectors:
1 Ce 0.000 0.500 0.500
2 Ce 0.500 0.000 0.500
3 Ce 0.500 0.500 0.000
4 Nd 0.000 0.000 0.000
5 Nd 0.000 0.000 0.500
6 Nd 0.000 0.500 0.000
7 Nd 0.500 0.000 0.000
8 Nd 0.500 0.500 0.500
9 N 0.250 0.250 0.738
10 N 0.250 0.738 0.250
11 N 0.255 0.255 0.255
12 N 0.262 0.750 0.750
13 N 0.738 0.250 0.250
14 N 0.745 0.745 0.745
15 N 0.750 0.262 0.750
16 N 0.750 0.750 0.262

Summary:
As for the energy relative to the elements, uncorrected: -22.97 eV per formula unit. As for the raw total energy: -0.6027 Ry per atom. The density of states at the Fermi level is 8.37 states/eV/cell. Its space-group type is R-3m (166).

Compound: Ce5NdN6
Source: Alexandria
Functional: PBE
Structure: optimized geometry

Cell: 6.201 6.201 6.202 Å, 99.58 99.58 120.00°
Sites, in units of the cell vectors:
1 Ce 0.000 0.000 0.000
2 Ce 0.167 0.833 0.500
3 Ce 0.333 0.667 0.000
4 Ce 0.667 0.333 0.000
5 Ce 0.833 0.167 0.500
6 Nd 0.500 0.500 0.500
7 N 0.072 0.415 0.245
8 N 0.241 0.241 0.755
9 N 0.415 0.072 0.245
10 N 0.585 0.928 0.755
11 N 0.759 0.759 0.245
12 N 0.928 0.585 0.755

Summary:
As for the energy relative to the elements, uncorrected: -17.80 eV per formula unit. As for the raw total energy: -0.6259 Ry per atom. The density of states at the Fermi level is 12.84 states/eV/cell. Its space-group type is C2/m (12).

Which of these has the highest density of states at the Fermi level?
Ce5NdN6

Look up the raw total energy of the first one.
-0.4744 Ry per atom

Which of these has the lowest energy relative to the elements, uncorrected?
Ce3Nd5N8